# 1
TlB3O5, relaxed, DFT PBEsol; energy above the most stable polymorph in this dataset = 0 meV/atom; crystal system = monoclinic; E_form (uncorrected) = -2.208 eV per atom
1.0
6.659 -0.012 0.021
0.782 6.613 0.021
1.584 1.405 8.861
Tl O B
4 20 12
direct
0.732 0.434 0.561 Tl
0.268 0.566 0.439 Tl
0.566 0.268 0.939 Tl
0.434 0.732 0.061 Tl
0.099 0.218 0.630 O
0.398 0.101 0.748 O
0.591 0.788 0.698 O
0.788 0.591 0.198 O
0.715 0.108 0.402 O
0.908 0.935 0.599 O
0.935 0.908 0.099 O
0.285 0.892 0.598 O
0.901 0.782 0.370 O
0.409 0.212 0.302 O
0.101 0.398 0.248 O
0.782 0.901 0.870 O
0.065 0.092 0.901 O
0.218 0.099 0.130 O
0.092 0.065 0.401 O
0.212 0.409 0.802 O
0.899 0.602 0.752 O
0.892 0.285 0.098 O
0.108 0.715 0.902 O
0.602 0.899 0.252 O
0.071 0.573 0.819 B
0.965 0.888 0.934 B
0.427 0.929 0.681 B
0.573 0.071 0.319 B
0.211 0.191 0.265 B
0.888 0.965 0.434 B
0.035 0.112 0.066 B
0.809 0.789 0.235 B
0.112 0.035 0.566 B
0.191 0.211 0.765 B
0.789 0.809 0.735 B
0.929 0.427 0.181 B

=====

# 2
TlBO2, relaxed, DFT PBEsol; energy above the most stable polymorph in this dataset = 316 meV/atom; crystal system = trigonal; E_form (uncorrected) = -1.511 eV per atom
1.0
4.115 0.000 0.000
2.057 3.563 0.000
2.057 1.188 5.633
Tl O B
1 2 1
direct
0.500 0.500 0.500 Tl
0.925 0.925 0.225 O
0.075 0.075 0.775 O
0.000 0.000 0.000 B

=====

# 3
TmBO3, relaxed, DFT PBEsol; crystal system = orthorhombic; E_form (uncorrected) = -3.103 eV per atom
1.0
-3.042 2.264 0.300
-0.927 -3.474 -1.243
-1.102 -2.527 7.885
Tm O B
2 6 2
direct
0.069 0.069 0.500 Tm
0.069 0.069 0.000 Tm
0.007 0.865 0.750 O
0.323 0.665 0.399 O
0.665 0.323 0.601 O
0.665 0.323 0.899 O
0.865 0.007 0.250 O
0.323 0.665 0.101 O
0.766 0.492 0.750 B
0.492 0.766 0.250 B

=====

# 4
VBO3, relaxed, DFT PBEsol; crystal system = trigonal; E_form (uncorrected) = -2.326 eV per atom
1.0
-2.416 -3.494 -1.767
-1.553 -3.346 2.750
-5.378 0.173 1.022
O B V
6 2 2
direct
0.449 0.750 0.750 O
0.551 0.250 0.250 O
0.051 0.449 0.750 O
0.949 0.551 0.250 O
0.750 0.051 0.750 O
0.250 0.949 0.250 O
0.750 0.750 0.750 B
0.250 0.250 0.250 B
0.500 0.500 0.500 V
0.000 0.000 0.000 V

=====

# 5
B2WO, relaxed, DFT PBEsol; crystal system = tetragonal; E_form (uncorrected) = 0.157 eV per atom
1.0
4.623 0.023 0.035
-2.040 4.149 -0.035
-2.040 -1.622 3.818
B W O
4 2 2
direct
0.393 0.875 0.768 B
0.607 0.375 0.482 B
0.107 0.232 0.625 B
0.893 0.518 0.125 B
0.000 0.000 0.000 W
0.500 0.750 0.250 W
0.500 0.250 0.750 O
0.000 0.500 0.500 O

=====

# 6
YB5O9, relaxed, DFT PBEsol; crystal system = monoclinic; E_form (uncorrected) = -2.668 eV per atom
1.0
-4.770 3.937 -1.302
-1.555 -6.664 -4.127
-5.796 -4.107 8.815
O B Y
36 20 4
direct
0.886 0.716 0.718 O
0.742 0.331 0.402 O
0.790 0.591 0.984 O
0.790 0.091 0.516 O
0.114 0.784 0.218 O
0.258 0.669 0.598 O
0.855 0.926 0.847 O
0.742 0.831 0.098 O
0.145 0.074 0.153 O
0.855 0.426 0.653 O
0.585 0.294 0.017 O
0.233 0.052 0.675 O
0.910 0.659 0.513 O
0.415 0.706 0.983 O
0.571 0.334 0.799 O
0.210 0.409 0.016 O
0.090 0.341 0.487 O
0.114 0.284 0.282 O
0.562 0.558 0.615 O
0.438 0.942 0.115 O
0.571 0.834 0.701 O
0.258 0.169 0.902 O
0.145 0.574 0.347 O
0.910 0.159 0.987 O
0.429 0.666 0.201 O
0.562 0.058 0.885 O
0.438 0.442 0.385 O
0.415 0.206 0.517 O
0.233 0.552 0.825 O
0.429 0.166 0.299 O
0.090 0.841 0.013 O
0.585 0.794 0.483 O
0.210 0.909 0.484 O
0.886 0.216 0.782 O
0.767 0.948 0.325 O
0.767 0.448 0.175 O
0.798 0.085 0.876 B
0.501 0.281 0.404 B
0.870 0.758 0.027 B
0.236 0.675 0.253 B
0.501 0.781 0.096 B
0.130 0.242 0.973 B
0.712 0.950 0.442 B
0.764 0.325 0.747 B
0.130 0.742 0.527 B
0.288 0.550 0.942 B
0.288 0.050 0.558 B
0.870 0.258 0.473 B
0.202 0.915 0.124 B
0.202 0.415 0.376 B
0.764 0.825 0.753 B
0.499 0.219 0.904 B
0.499 0.719 0.596 B
0.236 0.175 0.247 B
0.798 0.585 0.624 B
0.712 0.450 0.058 B
0.247 0.358 0.680 Y
0.753 0.642 0.320 Y
0.247 0.858 0.820 Y
0.753 0.142 0.180 Y